# BeCuSiTc | the Open Quantum Materials Database | PBE | relaxed
data_BeCuSiTc
_cell_length_a 4.032
_cell_length_b 4.032
_cell_length_c 4.032
_cell_angle_alpha 60.00
_cell_angle_beta 60.00
_cell_angle_gamma 60.00
_space_group_name_H-M_alt 'P 1'
_space_group_IT_number 1
loop_
_space_group_symop_operation_xyz
'x,y,z'
loop_
_atom_site_label
_atom_site_type_symbol
_atom_site_fract_x
_atom_site_fract_y
_atom_site_fract_z
_atom_site_occupancy
Cu1 Cu 0.750 0.750 0.750 1
Tc1 Tc 0.250 0.250 0.250 1
Be1 Be 0.500 0.500 0.500 1
Si1 Si 0.000 0.000 0.000 1
# Volume, A^3/atom: 11.59
# Uncorrected energy, eV per atom: -5.94


# GdIrPb | the Open Quantum Materials Database | PBE | relaxed
data_GdIrPb
_cell_length_a 4.798
_cell_length_b 4.798
_cell_length_c 4.798
_cell_angle_alpha 60.00
_cell_angle_beta 60.00
_cell_angle_gamma 60.00
_space_group_name_H-M_alt 'P 1'
_space_group_IT_number 1
loop_
_space_group_symop_operation_xyz
'x,y,z'
loop_
_atom_site_label
_atom_site_type_symbol
_atom_site_fract_x
_atom_site_fract_y
_atom_site_fract_z
_atom_site_occupancy
Ir1 Ir 0.750 0.750 0.750 1
Pb1 Pb 0.000 0.000 0.000 1
Gd1 Gd 0.250 0.250 0.250 1
# Volume, A^3/atom: 26.04
# Uncorrected energy, eV per atom: -5.57


# BaZrSn | the Open Quantum Materials Database | PBE | relaxed
data_BaZrSn
_cell_length_a 5.378
_cell_length_b 5.378
_cell_length_c 5.378
_cell_angle_alpha 60.00
_cell_angle_beta 60.00
_cell_angle_gamma 60.00
_space_group_name_H-M_alt 'P 1'
_space_group_IT_number 1
loop_
_space_group_symop_operation_xyz
'x,y,z'
loop_
_atom_site_label
_atom_site_type_symbol
_atom_site_fract_x
_atom_site_fract_y
_atom_site_fract_z
_atom_site_occupancy
Ba1 Ba 0.250 0.250 0.250 1
Zr1 Zr 0.750 0.750 0.750 1
Sn1 Sn 0.000 0.000 0.000 1
# Volume, A^3/atom: 36.67
# Uncorrected energy, eV per atom: -4.62